Model one:
Compound: RbTi3S
Source: the Alexandria database
Functional: PBE-GGA
Structure: relaxed

Lattice parameters (Å, degrees): 4.728 4.728 4.728 90.00 90.00 90.00
Space group Pm-3m (No. 221)
Asymmetric unit:
Rb1 0.000 0.000 0.000 [1 per cell]
Ti1 0.000 0.000 0.500 [3 per cell]
S1 0.500 0.500 0.500 [1 per cell]

Results
magnetic moment	1.993	μB/cell
DOS at the Fermi energy	7.62	states/eV/f.u.

---

Model two:
Compound: RbTi3S
Source: the Alexandria database
Functional: PBE-GGA
Structure: relaxed

Lattice parameters (Å, degrees): 4.762 4.762 4.762 90.00 90.00 90.00
Space group Pm-3m (No. 221)
Asymmetric unit:
Rb1 0.000 0.000 0.000 [1 per cell]
Ti1 0.000 0.500 0.500 [3 per cell]
S1 0.500 0.500 0.500 [1 per cell]

Results
magnetic moment	0.000	μB/cell
DOS at the Fermi energy	4.45	states/eV/f.u.

---

Which of them is the least stable? Correct choice: model one.